# CaC2

A relaxed CaC2 crystal (PBE, Alexandria).

CIF file:
```
data_CaC2
_space_group_name_H-M_alt 'P a -3'
_space_group_IT_number 205
_space_group_name_Hall '-P 2ac 2ab 3'
_cell_length_a 5.857
_cell_length_b 5.857
_cell_length_c 5.857
_cell_angle_alpha 90.00
_cell_angle_beta 90.00
_cell_angle_gamma 90.00
loop_
_atom_site_label
_atom_site_type_symbol
_atom_site_fract_x
_atom_site_fract_y
_atom_site_fract_z
Ca1 Ca 0.000 0.000 0.000
C1 C 0.062 0.562 0.938
```



# Ca5C

A relaxed Ca5C crystal (PBE, Alexandria).

CIF file:
```
data_Ca5C
_space_group_name_H-M_alt 'P 4/m m m'
_space_group_IT_number 123
_space_group_name_Hall '-P 4 2'
_cell_length_a 3.427
_cell_length_b 3.427
_cell_length_c 15.666
_cell_angle_alpha 90.00
_cell_angle_beta 90.00
_cell_angle_gamma 90.00
loop_
_atom_site_label
_atom_site_type_symbol
_atom_site_fract_x
_atom_site_fract_y
_atom_site_fract_z
Ca1 Ca 0.000 0.000 0.000
Ca2 Ca 0.000 0.000 0.410
Ca3 Ca 0.500 0.500 0.199
C1 C 0.500 0.500 0.500
```



# CaC

A relaxed CaC crystal (PBE, Alexandria).

CIF file:
```
data_CaC
_space_group_name_H-M_alt 'I m m 2'
_space_group_IT_number 44
_space_group_name_Hall 'I 2 -2'
_cell_length_a 3.760
_cell_length_b 10.017
_cell_length_c 6.495
_cell_angle_alpha 90.00
_cell_angle_beta 90.00
_cell_angle_gamma 90.00
loop_
_atom_site_label
_atom_site_type_symbol
_atom_site_fract_x
_atom_site_fract_y
_atom_site_fract_z
Ca1 Ca 0.000 0.000 0.000
Ca2 Ca 0.000 0.307 0.091
C1 C 0.000 0.367 0.704
C2 C 0.000 0.500 0.737
```



# CaC2

A relaxed CaC2 crystal (PBE, Alexandria).

CIF file:
```
data_CaC2
_space_group_name_H-M_alt 'I 4/m c m'
_space_group_IT_number 140
_space_group_name_Hall '-I 4 2c'
_cell_length_a 5.272
_cell_length_b 5.272
_cell_length_c 6.605
_cell_angle_alpha 90.00
_cell_angle_beta 90.00
_cell_angle_gamma 90.00
loop_
_atom_site_label
_atom_site_type_symbol
_atom_site_fract_x
_atom_site_fract_y
_atom_site_fract_z
Ca1 Ca 0.000 0.000 0.250
C1 C 0.084 0.416 0.000
```



# CaC2

A relaxed CaC2 crystal (PBE, Alexandria).

CIF file:
```
data_CaC2
_space_group_name_H-M_alt 'P 42/m n m'
_space_group_IT_number 136
_space_group_name_Hall '-P 4n 2n'
_cell_length_a 6.564
_cell_length_b 6.564
_cell_length_c 2.446
_cell_angle_alpha 90.00
_cell_angle_beta 90.00
_cell_angle_gamma 90.00
loop_
_atom_site_label
_atom_site_type_symbol
_atom_site_fract_x
_atom_site_fract_y
_atom_site_fract_z
Ca1 Ca 0.000 0.000 0.000
C1 C 0.238 0.238 0.500
```



# CaC2

A relaxed CaC2 crystal (PBE, Alexandria).

CIF file:
```
data_CaC2
_space_group_name_H-M_alt 'C 1 2/m 1'
_space_group_IT_number 12
_space_group_name_Hall '-C 2y'
_cell_length_a 9.409
_cell_length_b 2.702
_cell_length_c 5.310
_cell_angle_alpha 90.00
_cell_angle_beta 96.83
_cell_angle_gamma 90.00
loop_
_atom_site_label
_atom_site_type_symbol
_atom_site_fract_x
_atom_site_fract_y
_atom_site_fract_z
Ca1 Ca 0.154 0.000 0.228
C1 C 0.059 0.500 0.606
C2 C 0.118 0.000 0.717
```



# CaC4

A relaxed CaC4 crystal (PBE, Alexandria).

CIF file:
```
data_CaC4
_space_group_name_H-M_alt 'C 1 2/m 1'
_space_group_IT_number 12
_space_group_name_Hall '-C 2y'
_cell_length_a 6.917
_cell_length_b 2.629
_cell_length_c 6.548
_cell_angle_alpha 90.00
_cell_angle_beta 92.48
_cell_angle_gamma 90.00
loop_
_atom_site_label
_atom_site_type_symbol
_atom_site_fract_x
_atom_site_fract_y
_atom_site_fract_z
Ca1 Ca 0.000 0.000 0.000
C1 C 0.203 0.500 0.759
C2 C 0.239 0.500 0.559
```



# CaC2

A relaxed CaC2 crystal (PBE, Alexandria).

CIF file:
```
data_CaC2
_space_group_name_H-M_alt 'I 41/a m d'
_space_group_IT_number 141
_cell_length_a 3.773
_cell_length_b 3.773
_cell_length_c 11.664
_cell_angle_alpha 90.00
_cell_angle_beta 90.00
_cell_angle_gamma 90.00
loop_
_space_group_symop_operation_xyz
'x,y,z'
'-x,-y,-z'
'-y+1/4,x+3/4,z+1/4'
'y+1/4,-x+3/4,-z+1/4'
'-x+1/2,-y,z+1/2'
'x+1/2,y,-z+1/2'
'y+1/4,-x+1/4,z+3/4'
'-y+1/4,x+1/4,-z+3/4'
'x,-y,-z'
'-x,y,z'
'-y+1/4,-x+1/4,-z+3/4'
'y+1/4,x+1/4,z+3/4'
'-x+1/2,y,-z+1/2'
'x+1/2,-y,z+1/2'
'y+1/4,x+3/4,-z+1/4'
'-y+1/4,-x+3/4,z+1/4'
'x+1/2,y+1/2,z+1/2'
'-x+1/2,-y+1/2,-z+1/2'
'-y+3/4,x+1/4,z+3/4'
'y+3/4,-x+1/4,-z+3/4'
'-x,-y+1/2,z'
'x,y+1/2,-z'
'y+3/4,-x+3/4,z+1/4'
'-y+3/4,x+3/4,-z+1/4'
'x+1/2,-y+1/2,-z+1/2'
'-x+1/2,y+1/2,z+1/2'
'-y+3/4,-x+3/4,-z+1/4'
'y+3/4,x+3/4,z+1/4'
'-x,y+1/2,-z'
'x,-y+1/2,z'
'y+3/4,x+1/4,-z+3/4'
'-y+3/4,-x+1/4,z+3/4'
loop_
_atom_site_label
_atom_site_type_symbol
_atom_site_fract_x
_atom_site_fract_y
_atom_site_fract_z
Ca1 Ca 0.000 0.250 0.375
C1 C 0.000 0.250 0.819
```



# CaC3

A relaxed CaC3 crystal (PBE, Alexandria).

CIF file:
```
data_CaC3
_space_group_name_H-M_alt 'I m m 2'
_space_group_IT_number 44
_space_group_name_Hall 'I 2 -2'
_cell_length_a 2.683
_cell_length_b 5.248
_cell_length_c 7.868
_cell_angle_alpha 90.00
_cell_angle_beta 90.00
_cell_angle_gamma 90.00
loop_
_atom_site_label
_atom_site_type_symbol
_atom_site_fract_x
_atom_site_fract_y
_atom_site_fract_z
Ca1 Ca 0.000 0.000 0.000
C1 C 0.000 0.131 0.383
C2 C 0.000 0.500 0.768
```



# CaC5

A relaxed CaC5 crystal (PBE, Alexandria).

CIF file:
```
data_CaC5
_space_group_name_H-M_alt 'F -4 3 m'
_space_group_IT_number 216
_space_group_name_Hall 'F -4 2 3'
_cell_length_a 6.368
_cell_length_b 6.368
_cell_length_c 6.368
_cell_angle_alpha 90.00
_cell_angle_beta 90.00
_cell_angle_gamma 90.00
loop_
_atom_site_label
_atom_site_type_symbol
_atom_site_fract_x
_atom_site_fract_y
_atom_site_fract_z
Ca1 Ca 0.000 0.000 0.000
C1 C 0.087 0.087 0.413
C2 C 0.250 0.250 0.750
```



# CaC

A relaxed CaC crystal (PBE, Alexandria).

CIF file:
```
data_CaC
_space_group_name_H-M_alt 'P 21 21 21'
_space_group_IT_number 19
_space_group_name_Hall 'P 2ac 2ab'
_cell_length_a 6.917
_cell_length_b 7.044
_cell_length_c 7.365
_cell_angle_alpha 90.00
_cell_angle_beta 90.00
_cell_angle_gamma 90.00
loop_
_atom_site_label
_atom_site_type_symbol
_atom_site_fract_x
_atom_site_fract_y
_atom_site_fract_z
Ca1 Ca 0.021 0.057 0.130
Ca2 Ca 0.024 0.605 0.856
C1 C 0.189 0.736 0.137
C2 C 0.199 0.408 0.609
```



# CaC

A relaxed CaC crystal (PBE, Alexandria).

CIF file:
```
data_CaC
_space_group_name_H-M_alt 'P m m a'
_space_group_IT_number 51
_space_group_name_Hall '-P 2a 2a'
_cell_length_a 2.773
_cell_length_b 3.405
_cell_length_c 7.123
_cell_angle_alpha 90.00
_cell_angle_beta 90.00
_cell_angle_gamma 90.00
loop_
_atom_site_label
_atom_site_type_symbol
_atom_site_fract_x
_atom_site_fract_y
_atom_site_fract_z
Ca1 Ca 0.250 0.000 0.235
C1 C 0.250 0.500 0.950
```



| no. | formation energy (eV per atom) | energy above the most stable polymorph in this dataset (meV/atom) |
| --- | --- | --- |
| 1 | 0.08 | 60 |
| 2 | 0.38 | 136 |
| 3 | 0.08 | 79 |
| 4 | 0.36 | 345 |
| 5 | 3.15 | 3135 |
| 6 | 0.26 | 249 |
| 7 | 0.83 | 510 |
| 8 | 0.45 | 438 |
| 9 | 1.11 | 588 |
| 10 | 2.38 | 1795 |
| 11 | 0.14 | 140 |
| 12 | 0.26 | 264 |